NaSmPd2 after structural relaxation, computed with PBE.

Calculated values
Polymorph energy (0 for the lowest one) = 0.04 eV/f.u.
Space-group type = No. 225
E_form = -0.47 eV/atom
E_tot = -18.3 eV/cell

Cell lengths 4.915, 4.915, 4.915 Å; angles 60.00, 60.00, 60.00 degrees
Sites, in units of the cell vectors:
Na 0.000 0.000 0.000
Sm 0.500 0.500 0.500
Pd 0.250 0.250 0.250
Pd 0.750 0.750 0.750